SiOs2Rh | PBE | relaxed

**Symmetry**: P4/mmm, No. 123
**Energy relative to the elements, uncorrected**: 126 meV per atom

a b c (Å): 4.3843 4.3843 2.8839
angles (deg): 90.00 90.00 90.00
With the nearest neighbours (Å) after each atom.
Fractional positions:
Os  0.5000  0.5000  0.0000  4 Rh 2.62, 4 Si 2.62, 2 Os 2.88
Rh  0.5000  0.0000  0.5000  8 Os 2.62, 2 Rh 2.88
Os  0.0000  0.0000  0.0000  4 Rh 2.62, 4 Si 2.62, 2 Os 2.88
Si  0.0000  0.5000  0.5000  8 Os 2.62, 2 Si 2.88

Si2OsRh | PBE | relaxed

**Symmetry**: R3m, No. 160
**Energy relative to the elements, uncorrected**: -113 meV per atom

a b c (Å): 7.9401 7.9401 7.9401
angles (deg): 21.00 21.00 21.00
With the nearest neighbours (Å) after each atom.
Fractional positions:
Os  0.5081  0.5081  0.5081  3 Si 2.40
Si  0.2490  0.2490  0.2490  3 Os 2.40, 3 Si 2.61
Si  0.0015  0.0015  0.0015  3 Rh 2.39, 3 Si 2.61
Rh  0.7414  0.7414  0.7414  3 Si 2.39

Si2OsRh | PBE | relaxed

**Symmetry**: R-3m, No. 166
**Energy relative to the elements, uncorrected**: -372 meV per atom

a b c (Å): 7.8021 7.8021 7.8021
angles (deg): 21.13 21.13 21.13
With the nearest neighbours (Å) after each atom.
Fractional positions:
Rh  0.7500  0.7500  0.7500  6 Si 2.52
Si  0.5000  0.5000  0.5000  3 Os 2.52, 3 Rh 2.52
Si  0.0000  0.0000  0.0000  3 Os 2.52, 3 Rh 2.52
Os  0.2500  0.2500  0.2500  6 Si 2.52

SiOsRh2 | PBE | relaxed

**Symmetry**: P4mm, No. 99
**Energy relative to the elements, uncorrected**: -253 meV per atom

a b c (Å): 2.8510 2.8510 6.7410
angles (deg): 90.00 90.00 90.00
With the nearest neighbours (Å) after each atom.
Fractional positions:
Os  0.5000  0.5000  0.7213  4 Si 2.52, 4 Rh 2.70
Rh  0.5000  0.5000  0.2929  4 Si 2.44
Si  0.0000  0.0000  0.4972  4 Rh 2.44, 4 Os 2.52
Rh  0.0000  0.0000  0.9887  4 Os 2.70, 8 Rh 2.85-2.88

SiOsRh2 | PBE | relaxed

**Symmetry**: F-43m, No. 216
**Energy relative to the elements, uncorrected**: -25 meV per atom

a b c (Å): 4.2802 4.2802 4.2802
angles (deg): 60.00 60.00 60.00
With the nearest neighbours (Å) after each atom.
Fractional positions:
Si  0.2500  0.2500  0.2500  4 Os 2.62, 4 Rh 2.62
Rh  0.0000  0.0000  0.0000  4 Rh 2.62, 4 Si 2.62
Rh  0.7500  0.7500  0.7500  4 Rh 2.62, 4 Os 2.62
Os  0.5000  0.5000  0.5000  4 Si 2.62, 4 Rh 2.62

Si2OsRh | PBE | relaxed

**Symmetry**: Imm2, No. 44
**Energy relative to the elements, uncorrected**: -446 meV per atom

a b c (Å): 5.9139 5.9139 5.9139
angles (deg): 151.47 144.75 45.96
With the nearest neighbours (Å) after each atom.
Fractional positions:
Si  0.9557  0.9557  0.0000  4 Os 2.47, 2 Rh 2.52
Si  0.7142  0.2142  0.5000  2 Os 2.42, 4 Rh 2.46
Os  0.5369  0.5369  0.0000  6 Si 2.42-2.47
Rh  0.2932  0.7932  0.5000  6 Si 2.46-2.52

Si2OsRh | PBE | relaxed

**Symmetry**: C2/m, No. 12
**Energy relative to the elements, uncorrected**: -360 meV per atom

a b c (Å): 4.1715 4.1715 4.9455
angles (deg): 78.45 78.45 40.09
With the nearest neighbours (Å) after each atom.
Fractional positions:
Os  0.7500  0.7500  0.7500  6 Si 2.50-2.51
Si  0.4984  0.4984  0.5103  3 Os 2.50-2.51, 3 Rh 2.55, 2 Si 2.77
Rh  0.2500  0.2500  0.2500  6 Si 2.55, 4 Os 2.86
Si  0.0016  0.0016  0.9897  3 Os 2.50-2.51, 3 Rh 2.55, 2 Si 2.77

SiOsRh2 | PBE | relaxed

**Symmetry**: Imm2, No. 44
**Energy relative to the elements, uncorrected**: -247 meV per atom

a b c (Å): 5.2212 5.2212 5.2212
angles (deg): 148.71 130.89 59.39
With the nearest neighbours (Å) after each atom.
Fractional positions:
Os  0.7155  0.2155  0.5000  2 Si 2.40, 4 Rh 2.67
Rh  0.2884  0.7884  0.5000  2 Si 2.39, 4 Os 2.67
Rh  0.9951  0.9951  0.0000  4 Si 2.59, 4 Rh 2.82-2.87
Si  0.5010  0.5010  0.0000  6 Rh 2.39-2.59, 2 Os 2.40

Si2OsRh | PBE | relaxed

**Symmetry**: Pmmm, No. 47
**Energy relative to the elements, uncorrected**: -108 meV per atom

a b c (Å): 2.9371 4.9265 3.8756
angles (deg): 90.00 90.00 90.00
With the nearest neighbours (Å) after each atom.
Fractional positions:
Os  0.5000  0.0000  0.5000  4 Si 2.43
Rh  0.0000  0.5000  0.5000  4 Si 2.43
Si  0.5000  0.5000  0.0000  4 Rh 2.43
Si  0.0000  0.0000  0.0000  4 Os 2.43

Si2OsRh | PBE | relaxed

**Symmetry**: I-42d, No. 122
**Energy relative to the elements, uncorrected**: -6 meV per atom

a b c (Å): 3.9863 3.9863 8.2444
angles (deg): 76.01 76.01 90.00
With the nearest neighbours (Å) after each atom.
Fractional positions:
Os  0.0000  0.0000  0.0000  4 Si 2.41
Rh  0.2500  0.7500  0.5000  4 Si 2.39
Os  0.7500  0.2500  0.5000  4 Si 2.41
Rh  0.5000  0.5000  0.0000  4 Si 2.39
Si  0.6192  0.1250  0.2500  2 Rh 2.39, 2 Os 2.41
Si  0.3750  0.3808  0.7500  2 Rh 2.39, 2 Os 2.41
Si  0.1308  0.6250  0.2500  2 Rh 2.39, 2 Os 2.41
Si  0.8750  0.8692  0.7500  2 Rh 2.39, 2 Os 2.41

SiOsRh2 | PBE | relaxed

**Symmetry**: Pmmm, No. 47
**Energy relative to the elements, uncorrected**: -28 meV per atom

a b c (Å): 2.8422 4.3984 4.4416
angles (deg): 90.00 90.00 90.00
With the nearest neighbours (Å) after each atom.
Fractional positions:
Rh  0.0000  0.0000  0.0000  6 Rh 2.62-2.84, 4 Si 2.64
Os  0.0000  0.5000  0.5000  4 Si 2.62, 4 Rh 2.64, 2 Os 2.84
Rh  0.5000  0.5000  0.0000  6 Rh 2.62-2.84, 4 Os 2.64
Si  0.5000  0.0000  0.5000  4 Os 2.62, 4 Rh 2.64, 2 Si 2.84

SiOs2Rh | PBE | relaxed

**Symmetry**: Amm2, No. 38
**Energy relative to the elements, uncorrected**: -163 meV per atom

a b c (Å): 3.8744 2.7887 5.3621
angles (deg): 74.93 90.00 90.00
With the nearest neighbours (Å) after each atom.
Fractional positions:
Os  0.5000  0.1954  0.2339  1 Si 2.45, 4 Os 2.64
Os  0.0000  0.8051  0.0151  2 Si 2.51, 6 Os 2.64-2.79, 3 Rh 2.74-2.81
Rh  0.0000  0.5405  0.5440  4 Si 2.53, 3 Os 2.74-2.81, 2 Rh 2.79
Si  0.5000  0.9591  0.7070  3 Os 2.45-2.51, 4 Rh 2.53

SiOs2Rh | PBE | relaxed

**Symmetry**: Cm, No. 8
**Energy relative to the elements, uncorrected**: -101 meV per atom

a b c (Å): 4.8350 4.8350 4.6446
angles (deg): 69.69 69.69 33.38
With the nearest neighbours (Å) after each atom.
Fractional positions:
Rh  0.5293  0.5293  0.4318  3 Si 2.46-2.70, 2 Os 2.69
Os  0.9740  0.9740  0.9570  2 Si 2.49, 5 Os 2.61-2.78, 2 Rh 2.69
Os  0.7339  0.7339  0.7910  2 Si 2.52, 5 Os 2.61-2.78
Si  0.2628  0.2628  0.3203  3 Rh 2.46-2.70, 4 Os 2.49-2.52

SiOs2Rh | PBE | relaxed

**Symmetry**: P4mm, No. 99
**Energy relative to the elements, uncorrected**: -167 meV per atom

a b c (Å): 2.8195 2.8195 6.8984
angles (deg): 90.00 90.00 90.00
With the nearest neighbours (Å) after each atom.
Fractional positions:
Rh  0.0000  0.0000  0.5405  4 Si 2.44
Os  0.0000  0.0000  0.9797  4 Si 2.58, 8 Os 2.67-2.82
Si  0.5000  0.5000  0.7433  4 Rh 2.44, 4 Os 2.58
Os  0.5000  0.5000  0.2365  8 Os 2.67-2.82, 4 Rh 2.89

Si2OsRh | PBE | relaxed

**Symmetry**: I-4m2, No. 119
**Energy relative to the elements, uncorrected**: -155 meV per atom

a b c (Å): 4.9741 4.9741 4.9741
angles (deg): 138.36 138.36 60.35
With the nearest neighbours (Å) after each atom.
Fractional positions:
Rh  0.7500  0.2500  0.5000  8 Si 2.50-2.78, 4 Os 2.78
Si  0.2500  0.7500  0.5000  4 Rh 2.50, 4 Os 2.78, 4 Si 2.78
Si  0.0000  0.0000  0.0000  4 Os 2.50, 4 Rh 2.78, 4 Si 2.78
Os  0.5000  0.5000  0.0000  8 Si 2.50-2.78, 4 Rh 2.78